1.
A plane-wave DFT calculation with PBE was carried out for crystalline Er4PtSe2S at its relaxed geometry.

Results
Formation energy (no corrections) in kcal/mol of atoms: -38.20

The structure in CIF format:
```
data_Er4PtSe2S
_space_group_name_H-M_alt 'P 1 2/m 1'
_space_group_IT_number 10
_cell_length_a 7.046
_cell_length_b 3.939
_cell_length_c 7.074
_cell_angle_alpha 90.00
_cell_angle_beta 108.92
_cell_angle_gamma 90.00
loop_
_space_group_symop_operation_xyz
'x,y,z'
'-x,-y,-z'
'-x,y,-z'
'x,-y,z'
loop_
_atom_site_label
_atom_site_type_symbol
_atom_site_fract_x
_atom_site_fract_y
_atom_site_fract_z
_atom_site_occupancy
Er1 Er 0.237 0.000 0.229 1
Er2 Er 0.254 0.500 0.765 1
Pt1 Pt 0.000 0.500 0.000 1
Se1 Se 0.000 0.000 0.500 1
Se2 Se 0.500 0.500 0.500 1
S1 S 0.500 0.000 0.000 1
```

2.
A plane-wave DFT calculation with PBE was carried out for crystalline CuHgRh2 at its relaxed geometry.

Results
E_tot in hartree per atom: -0.164

The structure in CIF format:
```
data_CuHgRh2
_space_group_name_H-M_alt 'C m m m'
_space_group_IT_number 65
_space_group_name_Hall '-C 2 2'
_cell_length_a 2.902
_cell_length_b 4.769
_cell_length_c 9.058
_cell_angle_alpha 90.00
_cell_angle_beta 90.00
_cell_angle_gamma 90.00
loop_
_atom_site_label
_atom_site_type_symbol
_atom_site_fract_x
_atom_site_fract_y
_atom_site_fract_z
_atom_site_occupancy
Cu1 Cu 0.000 0.000 0.000 1
Hg1 Hg 0.000 0.000 0.500 1
Rh1 Rh 0.000 0.500 0.231 1
```

3.
A plane-wave DFT calculation with PBE was carried out for crystalline HgAs2AuBr at its relaxed geometry.

Results
Polymorph energy (0 for the lowest one) in eV per atom: 0.0000
Formation energy (no corrections) in kcal/mol of atoms: 14.21

The structure in CIF format:
```
data_HgAs2AuBr
_space_group_name_H-M_alt 'P 4/m m m'
_space_group_IT_number 123
_space_group_name_Hall '-P 4 2'
_cell_length_a 5.113
_cell_length_b 5.113
_cell_length_c 5.440
_cell_angle_alpha 90.00
_cell_angle_beta 90.00
_cell_angle_gamma 90.00
loop_
_atom_site_label
_atom_site_type_symbol
_atom_site_fract_x
_atom_site_fract_y
_atom_site_fract_z
_atom_site_occupancy
Hg1 Hg 0.000 0.000 0.000 1
As1 As 0.000 0.500 0.500 1
Au1 Au 0.500 0.500 0.500 1
Br1 Br 0.500 0.500 0.000 1
```

4.
A plane-wave DFT calculation with PBE was carried out for crystalline Th4Re at its relaxed geometry.

Results
E_tot in hartree per atom: -0.297

The structure in CIF format:
```
data_Th4Re
_space_group_name_H-M_alt 'P m -3 m'
_space_group_IT_number 221
_space_group_name_Hall '-P 4 2 3'
_cell_length_a 5.545
_cell_length_b 5.545
_cell_length_c 5.545
_cell_angle_alpha 90.00
_cell_angle_beta 90.00
_cell_angle_gamma 90.00
loop_
_atom_site_label
_atom_site_type_symbol
_atom_site_fract_x
_atom_site_fract_y
_atom_site_fract_z
_atom_site_occupancy
Th1 Th 0.000 0.000 0.000 1
Th2 Th 0.000 0.500 0.500 1
Re1 Re 0.500 0.500 0.500 1
```

5.
A plane-wave DFT calculation with PBE was carried out for crystalline YGa4Co4 at its relaxed geometry.

Results
E_tot in hartree per atom: -0.201

The structure in CIF format:
```
data_YGa4Co4
_space_group_name_H-M_alt 'I 4/m'
_space_group_IT_number 87
_space_group_name_Hall '-I 4'
_cell_length_a 8.028
_cell_length_b 8.028
_cell_length_c 4.227
_cell_angle_alpha 90.00
_cell_angle_beta 90.00
_cell_angle_gamma 90.00
loop_
_atom_site_label
_atom_site_type_symbol
_atom_site_fract_x
_atom_site_fract_y
_atom_site_fract_z
_atom_site_occupancy
Y1 Y 0.000 0.000 0.000 1
Ga1 Ga 0.149 0.736 0.500 1
Co1 Co 0.093 0.609 0.000 1
```

6.
A plane-wave DFT calculation with PBE was carried out for crystalline NbTl2Br6 at its relaxed geometry.

Results
Polymorph energy (0 for the lowest one) in eV per atom: 0.0000
Formation energy (no corrections) in kcal/mol of atoms: -20.21

The structure in CIF format:
```
data_NbTl2Br6
_space_group_name_H-M_alt 'P 1 21/c 1'
_space_group_IT_number 14
_cell_length_a 7.502
_cell_length_b 8.083
_cell_length_c 12.706
_cell_angle_alpha 90.00
_cell_angle_beta 124.92
_cell_angle_gamma 90.00
loop_
_space_group_symop_operation_xyz
'x,y,z'
'-x,-y,-z'
'-x,y+1/2,-z+1/2'
'x,-y+1/2,z+1/2'
loop_
_atom_site_label
_atom_site_type_symbol
_atom_site_fract_x
_atom_site_fract_y
_atom_site_fract_z
_atom_site_occupancy
Nb1 Nb 0.000 0.000 0.000 1
Tl1 Tl 0.274 0.084 0.754 1
Br1 Br 0.161 0.014 0.243 1
Br2 Br 0.218 0.730 0.039 1
Br3 Br 0.324 0.177 0.040 1
```

7.
A plane-wave DFT calculation with PBE was carried out for crystalline ZrSi2Tc at its relaxed geometry.

Results
Polymorph energy (0 for the lowest one) in eV per atom: 0.1694
Formation energy (no corrections) in kcal/mol of atoms: -8.25

The structure in CIF format:
```
data_ZrSi2Tc
_space_group_name_H-M_alt 'C 1 m 1'
_space_group_IT_number 8
_cell_length_a 8.793
_cell_length_b 3.190
_cell_length_c 4.678
_cell_angle_alpha 90.00
_cell_angle_beta 102.88
_cell_angle_gamma 90.00
loop_
_space_group_symop_operation_xyz
'x,y,z'
'x,-y,z'
'x+1/2,y+1/2,z'
'x+1/2,-y+1/2,z'
loop_
_atom_site_label
_atom_site_type_symbol
_atom_site_fract_x
_atom_site_fract_y
_atom_site_fract_z
_atom_site_occupancy
Zr1 Zr 0.000 0.000 0.000 1
Si1 Si 0.004 0.500 0.509 1
Si2 Si 0.242 0.000 0.718 1
Tc1 Tc 0.272 0.500 0.337 1
```

8.
A plane-wave DFT calculation with PBE was carried out for crystalline Tm4CdCuRh2 at its relaxed geometry.

Results
E_tot in hartree per atom: -0.195

The structure in CIF format:
```
data_Tm4CdCuRh2
_space_group_name_H-M_alt 'R -3 m'
_space_group_IT_number 166
_space_group_name_Hall '-R 3 2"'
_cell_length_a 4.9018
_cell_length_b 4.9018
_cell_length_c 24.0377
_cell_angle_alpha 90.00
_cell_angle_beta 90.00
_cell_angle_gamma 120.00
loop_
_atom_site_label
_atom_site_type_symbol
_atom_site_fract_x
_atom_site_fract_y
_atom_site_fract_z
_atom_site_occupancy
Tm1 Tm 0.0000 0.0000 0.1198 1
Tm2 Tm 0.0000 0.0000 0.3708 1
Cd1 Cd 0.0000 0.0000 0.5000 1
Cu1 Cu 0.0000 0.0000 0.0000 1
Rh1 Rh 0.0000 0.0000 0.2490 1
```